The following is a GGA-PBE calculation of AsPt2Cl after structural relaxation, from the Alexandria database.

a b c (Å): 3.4392 3.4392 7.3433
angles (deg): 76.26 76.26 59.80
Last column: nearest neighbours and their distance in Å.
Fractional positions:
1 Pt 0.0101 0.0101 0.9673  3 As 2.51
2 Cl 0.2500 0.2500 0.2500  6 Pt 2.81-2.83
3 As 0.7500 0.7500 0.7500  6 Pt 2.51
4 Pt 0.4899 0.4899 0.5327  3 As 2.51

Density in g cm⁻³: 11.5
Total magnetization in μB/atom: 0.00
E_form (uncorrected) in eV per formula unit: -0.1
Energy relative to the lowest polymorph listed for this composition in meV/atom: 172
Symmetry: No. 12

=====

The following is a GGA-PBE calculation of AsPt2Cl after structural relaxation, from the Alexandria database.

a b c (Å): 6.2450 6.2450 6.2450
angles (deg): 153.13 139.84 48.98
Last column: nearest neighbours and their distance in Å.
Fractional positions:
1 Pt 0.2596 0.7596 0.5000  4 Cl 2.59, 2 As 2.71, 2 Pt 2.90
2 Cl 0.7482 0.2482 0.5000  4 Pt 2.59, 2 Cl 2.90
3 As 0.4605 0.4605 0.0000  6 Pt 2.71, 2 As 2.90
4 Pt 0.0318 0.0318 0.0000  4 As 2.71, 4 Pt 2.90-2.97

Density in g cm⁻³: 11.8
Total magnetization in μB/atom: 0.00
E_form (uncorrected) in eV per formula unit: 0.8
Energy relative to the lowest polymorph listed for this composition in meV/atom: 398
Symmetry: No. 44